An optimized crystal structure of Cd2Pd5Pt, computed with PBE-GGA.

```
data_Cd2Pd5Pt
_symmetry_space_group_name_H-M 'P 1'
_symmetry_Int_Tables_number 1
_symmetry_space_group_name_Hall 'P 1'
_cell_length_a 5.692
_cell_length_b 11.381
_cell_length_c 4.039
_cell_angle_alpha 90.00
_cell_angle_beta 90.00
_cell_angle_gamma 90.00
loop_
_atom_site_label
_atom_site_fract_x
_atom_site_fract_y
_atom_site_fract_z
_atom_site_occupancy
Cd1 0.240 0.127 0.000 1
Cd2 0.260 0.627 0.000 1
Cd3 0.740 0.373 0.000 1
Cd4 0.760 0.873 0.000 1
Pd1 0.000 0.000 0.500 1
Pd2 0.012 0.749 0.500 1
Pd3 0.240 0.377 0.000 1
Pd4 0.260 0.877 0.000 1
Pd5 0.488 0.249 0.500 1
Pd6 0.500 0.500 0.500 1
Pd7 0.512 0.751 0.500 1
Pd8 0.740 0.123 0.000 1
Pd9 0.760 0.623 0.000 1
Pd10 0.988 0.251 0.500 1
Pt1 0.000 0.500 0.500 1
Pt2 0.500 0.000 0.500 1
```

Results
- E (eV/atom) = -4.4622
- magnetization (Bohr magnetons per cell) = 0.00
- energy relative to the elements (eV/atom) = -0.233
- theoretical density (g/cm³) = 12.084
- crystal system = orthorhombic

An optimized crystal structure of MgZrAg2, computed with PBE-GGA.

```
data_MgZrAg2
_symmetry_space_group_name_H-M 'P 1'
_symmetry_Int_Tables_number 1
_symmetry_space_group_name_Hall 'P 1'
_cell_length_a 3.058
_cell_length_b 3.058
_cell_length_c 9.914
_cell_angle_alpha 99.28
_cell_angle_beta 99.28
_cell_angle_gamma 59.83
loop_
_atom_site_label
_atom_site_fract_x
_atom_site_fract_y
_atom_site_fract_z
_atom_site_occupancy
Mg1 0.000 0.000 0.000 1
Zr1 0.167 0.167 0.500 1
Ag1 0.412 0.412 0.240 1
Ag2 0.588 0.588 0.760 1
```

Results
- E (eV/atom) = -3.9832
- magnetization (Bohr magnetons per cell) = 0.00
- energy relative to the elements (eV/atom) = -0.022
- theoretical density (g/cm³) = 6.986
- crystal system = monoclinic

An optimized crystal structure of CeVGe, computed with PBE-GGA.

```
data_CeVGe
_symmetry_space_group_name_H-M 'P 1'
_symmetry_Int_Tables_number 1
_symmetry_space_group_name_Hall 'P 1'
_cell_length_a 3.644
_cell_length_b 4.295
_cell_length_c 7.453
_cell_angle_alpha 90.00
_cell_angle_beta 103.04
_cell_angle_gamma 90.00
loop_
_atom_site_label
_atom_site_fract_x
_atom_site_fract_y
_atom_site_fract_z
_atom_site_occupancy
Ce1 0.088 0.250 0.136 1
Ce2 0.912 0.750 0.864 1
V1 0.260 0.750 0.517 1
V2 0.740 0.250 0.483 1
Ge1 0.353 0.250 0.727 1
Ge2 0.647 0.750 0.273 1
```

Results
- E (eV/atom) = -6.9773
- magnetization (Bohr magnetons per cell) = 0.01
- energy relative to the elements (eV/atom) = -0.421
- theoretical density (g/cm³) = 7.708
- crystal system = monoclinic